No. 1
# Ti3Nb3Al2 | Alexandria | PBE | optimized geometry
data_Ti3Nb3Al2
_chemical_formula_sum 'Ti3 Nb3 Al2'
_cell_length_a 4.2425
_cell_length_b 4.4089
_cell_length_c 7.2827
_cell_angle_alpha 90.00
_cell_angle_beta 90.00
_cell_angle_gamma 90.00
_symmetry_space_group_name_H-M 'P m m m'
_symmetry_Int_Tables_number 47
loop_
_symmetry_equiv_pos_as_xyz
'x,y,z'
'-x,-y,-z'
'-x,-y,z'
'x,y,-z'
'x,-y,-z'
'-x,y,z'
'-x,y,-z'
'x,-y,z'
loop_
_atom_site_label
_atom_site_type_symbol
_atom_site_fract_x
_atom_site_fract_y
_atom_site_fract_z
Ti1 Ti 0.0000 0.0000 0.0000
Ti2 Ti 0.0000 0.0000 0.5000
Ti3 Ti 0.5000 0.5000 0.0000
Nb1 Nb 0.0000 0.5000 0.2487
Nb2 Nb 0.5000 0.5000 0.5000
Al1 Al 0.5000 0.0000 0.2471
# * D(E_F): 1.196 states/eV per atom
# * total moment: 0.00 μB per atom
# * energy relative to the elements: -243 meV/atom
# * VASP energy: -7.916 eV per atom



No. 2
# Ti3Nb3Al | Alexandria | PBE | optimized geometry
data_Ti3Nb3Al
_chemical_formula_sum 'Ti18 Nb18 Al6'
_cell_length_a 9.9032
_cell_length_b 9.9032
_cell_length_c 8.7205
_cell_angle_alpha 90.00
_cell_angle_beta 90.00
_cell_angle_gamma 120.00
_symmetry_space_group_name_H-M 'R 3 c'
_symmetry_Int_Tables_number 161
_symmetry_space_group_name_Hall 'R 3 -2"c'
loop_
_atom_site_label
_atom_site_type_symbol
_atom_site_fract_x
_atom_site_fract_y
_atom_site_fract_z
Ti1 Ti 0.1675 0.0100 0.0000
Nb1 Nb 0.0062 0.4220 0.0159
Al1 Al 0.0000 0.0000 0.2521
# * D(E_F): 1.256 states/eV per atom
# * total moment: 0.00 μB per atom
# * energy relative to the elements: 159 meV/atom
# * VASP energy: -8.075 eV per atom



No. 3
# Ti4Nb4Al | Alexandria | PBE | optimized geometry
data_Ti4Nb4Al
_chemical_formula_sum 'Ti16 Nb16 Al4'
_cell_length_a 4.4825
_cell_length_b 9.9531
_cell_length_c 14.0950
_cell_angle_alpha 90.00
_cell_angle_beta 90.00
_cell_angle_gamma 90.00
_symmetry_space_group_name_H-M 'F m m m'
_symmetry_Int_Tables_number 69
_symmetry_space_group_name_Hall '-F 2 2'
loop_
_atom_site_label
_atom_site_type_symbol
_atom_site_fract_x
_atom_site_fract_y
_atom_site_fract_z
Ti1 Ti 0.0000 0.0000 0.1721
Ti2 Ti 0.0000 0.1626 0.0000
Nb1 Nb 0.0000 0.1708 0.3370
Al1 Al 0.0000 0.0000 0.5000
# * D(E_F): 1.573 states/eV per atom
# * total moment: 0.00 μB per atom
# * energy relative to the elements: -47 meV/atom
# * VASP energy: -8.447 eV per atom
# * energy above the most stable polymorph in this dataset: 0 meV per atom



No. 4
# Ti9NbAl2 | Alexandria | PBE | optimized geometry
data_Ti9NbAl2
_chemical_formula_sum 'Ti9 Nb1 Al2'
_cell_length_a 4.0413
_cell_length_b 4.0413
_cell_length_c 12.4219
_cell_angle_alpha 90.00
_cell_angle_beta 90.00
_cell_angle_gamma 90.00
_symmetry_space_group_name_H-M 'P 4/m m m'
_symmetry_Int_Tables_number 123
_symmetry_space_group_name_Hall '-P 4 2'
loop_
_atom_site_label
_atom_site_type_symbol
_atom_site_fract_x
_atom_site_fract_y
_atom_site_fract_z
Ti1 Ti 0.0000 0.0000 0.0000
Ti2 Ti 0.0000 0.0000 0.3379
Ti3 Ti 0.0000 0.5000 0.1727
Ti4 Ti 0.0000 0.5000 0.5000
Nb1 Nb 0.5000 0.5000 0.0000
Al1 Al 0.5000 0.5000 0.3358
# * D(E_F): 1.374 states/eV per atom
# * total moment: 0.00 μB per atom
# * energy relative to the elements: -138 meV/atom
# * VASP energy: -7.523 eV per atom



No. 5
# TiNbAl | Alexandria | PBE | optimized geometry
data_TiNbAl
_chemical_formula_sum 'Ti2 Nb2 Al2'
_cell_length_a 3.0148
_cell_length_b 3.7710
_cell_length_c 8.9949
_cell_angle_alpha 90.00
_cell_angle_beta 90.00
_cell_angle_gamma 90.00
_symmetry_space_group_name_H-M 'I m m 2'
_symmetry_Int_Tables_number 44
loop_
_symmetry_equiv_pos_as_xyz
'x,y,z'
'-x,-y,z'
'-x,y,z'
'x,-y,z'
'x+1/2,y+1/2,z+1/2'
'-x+1/2,-y+1/2,z+1/2'
'-x+1/2,y+1/2,z+1/2'
'x+1/2,-y+1/2,z+1/2'
loop_
_atom_site_label
_atom_site_type_symbol
_atom_site_fract_x
_atom_site_fract_y
_atom_site_fract_z
Ti1 Ti 0.0000 0.0000 0.0000
Nb1 Nb 0.0000 0.0000 0.3306
Al1 Al 0.0000 0.0000 0.6633
# * D(E_F): 1.002 states/eV per atom
# * total moment: 0.00 μB per atom
# * energy relative to the elements: -243 meV/atom
# * VASP energy: -7.478 eV per atom
# * energy above the most stable polymorph in this dataset: 21 meV per atom



No. 6
# Ti2Nb6Al | Alexandria | PBE | optimized geometry
data_Ti2Nb6Al
_chemical_formula_sum 'Ti4 Nb12 Al2'
_cell_length_a 7.1326
_cell_length_b 13.9078
_cell_length_c 3.3091
_cell_angle_alpha 90.00
_cell_angle_beta 100.41
_cell_angle_gamma 90.00
_symmetry_space_group_name_H-M 'C 1 2/m 1'
_symmetry_Int_Tables_number 12
loop_
_symmetry_equiv_pos_as_xyz
'x,y,z'
'-x,-y,-z'
'-x,y,-z'
'x,-y,z'
'x+1/2,y+1/2,z'
'-x+1/2,-y+1/2,-z'
'-x+1/2,y+1/2,-z'
'x+1/2,-y+1/2,z'
loop_
_atom_site_label
_atom_site_type_symbol
_atom_site_fract_x
_atom_site_fract_y
_atom_site_fract_z
Ti1 Ti 0.0000 0.1642 0.0000
Nb1 Nb 0.1675 0.3389 0.3387
Nb2 Nb 0.1726 0.5000 0.8441
Al1 Al 0.0000 0.0000 0.5000
# * D(E_F): 1.145 states/eV per atom
# * total moment: 0.00 μB per atom
# * energy relative to the elements: 22 meV/atom
# * VASP energy: -8.862 eV per atom



No. 7
# Ti6NbAl2 | Alexandria | PBE | optimized geometry
data_Ti6NbAl2
_chemical_formula_sum 'Ti12 Nb2 Al4'
_cell_length_a 12.9328
_cell_length_b 5.4951
_cell_length_c 4.7085
_cell_angle_alpha 90.00
_cell_angle_beta 109.72
_cell_angle_gamma 90.00
_symmetry_space_group_name_H-M 'C 1 2/m 1'
_symmetry_Int_Tables_number 12
loop_
_symmetry_equiv_pos_as_xyz
'x,y,z'
'-x,-y,-z'
'-x,y,-z'
'x,-y,z'
'x+1/2,y+1/2,z'
'-x+1/2,-y+1/2,-z'
'-x+1/2,y+1/2,-z'
'x+1/2,-y+1/2,z'
loop_
_atom_site_label
_atom_site_type_symbol
_atom_site_fract_x
_atom_site_fract_y
_atom_site_fract_z
Ti1 Ti 0.1104 0.2347 0.1228
Ti2 Ti 0.2122 0.0000 0.7148
Nb1 Nb 0.0000 0.0000 0.5000
Al1 Al 0.1546 0.5000 0.6641
# * D(E_F): 1.130 states/eV per atom
# * total moment: 0.00 μB per atom
# * energy relative to the elements: 6 meV/atom
# * VASP energy: -7.208 eV per atom



No. 8
# Ti9Nb4Al11 | Alexandria | PBE | optimized geometry
data_Ti9Nb4Al11
_chemical_formula_sum 'Ti18 Nb8 Al22'
_cell_length_a 16.8470
_cell_length_b 16.8483
_cell_length_c 2.7975
_cell_angle_alpha 90.00
_cell_angle_beta 90.00
_cell_angle_gamma 90.00
_symmetry_space_group_name_H-M 'C m m m'
_symmetry_Int_Tables_number 65
_symmetry_space_group_name_Hall '-C 2 2'
loop_
_atom_site_label
_atom_site_type_symbol
_atom_site_fract_x
_atom_site_fract_y
_atom_site_fract_z
Ti1 Ti 0.0000 0.0000 0.0000
Ti2 Ti 0.0852 0.3811 0.0000
Ti3 Ti 0.2471 0.1240 0.0000
Nb1 Nb 0.0847 0.1366 0.0000
Al1 Al 0.0000 0.2599 0.5000
Al2 Al 0.0000 0.5000 0.5000
Al3 Al 0.1515 0.0000 0.5000
Al4 Al 0.1680 0.2561 0.5000
Al5 Al 0.1724 0.5000 0.5000
# * D(E_F): 0.937 states/eV per atom
# * total moment: 0.01 μB per atom
# * energy relative to the elements: -329 meV/atom
# * VASP energy: -6.683 eV per atom



No. 9
# Ti4NbAl3 | Alexandria | PBE | optimized geometry
data_Ti4NbAl3
_chemical_formula_sum 'Ti8 Nb2 Al6'
_cell_length_a 22.0186
_cell_length_b 2.8740
_cell_length_c 4.4353
_cell_angle_alpha 90.00
_cell_angle_beta 95.98
_cell_angle_gamma 90.00
_symmetry_space_group_name_H-M 'C 1 2/m 1'
_symmetry_Int_Tables_number 12
loop_
_symmetry_equiv_pos_as_xyz
'x,y,z'
'-x,-y,-z'
'-x,y,-z'
'x,-y,z'
'x+1/2,y+1/2,z'
'-x+1/2,-y+1/2,-z'
'-x+1/2,y+1/2,-z'
'x+1/2,-y+1/2,z'
loop_
_atom_site_label
_atom_site_type_symbol
_atom_site_fract_x
_atom_site_fract_y
_atom_site_fract_z
Ti1 Ti 0.0990 0.0000 0.1841
Ti2 Ti 0.2159 0.0000 0.2420
Nb1 Nb 0.0000 0.0000 0.5000
Al1 Al 0.0000 0.5000 0.0000
Al2 Al 0.1516 0.5000 0.7066
# * D(E_F): 1.138 states/eV per atom
# * total moment: 0.00 μB per atom
# * energy relative to the elements: 3 meV/atom
# * VASP energy: -6.607 eV per atom
# * energy above the most stable polymorph in this dataset: 334 meV per atom



No. 10
# TiNb2Al | Alexandria | PBE | optimized geometry
data_TiNb2Al
_chemical_formula_sum 'Ti3 Nb6 Al3'
_cell_length_a 2.9383
_cell_length_b 2.9383
_cell_length_c 28.5788
_cell_angle_alpha 90.00
_cell_angle_beta 90.00
_cell_angle_gamma 120.00
_symmetry_space_group_name_H-M 'R -3 m'
_symmetry_Int_Tables_number 166
_symmetry_space_group_name_Hall '-R 3 2"'
loop_
_atom_site_label
_atom_site_type_symbol
_atom_site_fract_x
_atom_site_fract_y
_atom_site_fract_z
Ti1 Ti 0.0000 0.0000 0.0000
Nb1 Nb 0.0000 0.0000 0.2487
Al1 Al 0.0000 0.0000 0.5000
# * D(E_F): 0.924 states/eV per atom
# * total moment: 0.00 μB per atom
# * energy relative to the elements: 8 meV/atom
# * VASP energy: -7.936 eV per atom